# CaY2SnN

A relaxed CaY2SnN crystal (PBE, Alexandria).

The structure belongs to space group P4/mmm (No. 123); the cell edges are 4.813, 4.813 and 4.864 Å and the angles 90.00°, 90.00° and 90.00°. The inequivalent atoms are Ca at (0.000, 0.000, 0.000), Y at (0.000, 0.500, 0.500), Sn at (0.500, 0.500, 0.000) and N at (0.000, 0.000, 0.500).

As for the uncorrected formation energy: -1.047 eV/atom.